This record from Alexandria via LeMat-Bulk describes a relaxed structure of Cr2SiF. The functional is PBE+U.

Calculated values
Size of the total moment: 8.915 μB per formula unit
E: -94.04 eV for the cell shown

Cell lengths 6.3593, 6.3593, 6.6278 Å; angles 90.00, 90.00, 90.00 degrees
Closest atoms and distances in Å follow each position.
Space group I-42d (No. 122)
One atom of each set of equivalent atoms:
Cr1 0.2088 0.2500 0.1250 (multiplicity 8)  2 F 2.23
Si1 0.0000 0.0000 0.5000 (multiplicity 4)  4 Cr 2.58
F1 0.0000 0.0000 0.0000 (multiplicity 4)  4 Cr 2.23